In3Pd2Pt7 after structural relaxation. Source: Alexandria, functional PBE.

Cell lengths 5.058, 2.913, 14.137 Å; angles 90.00, 99.91, 90.00 degrees
Space group P2/m (No. 10)
Unique sites:
In 0.000 0.000 0.000
In 0.349 0.500 0.327
Pd 0.170 0.000 0.671
Pt 0.077 0.500 0.837
Pt 0.242 0.000 0.481
Pt 0.434 0.000 0.164
Pt 0.500 0.500 0.000

The value obtained for the density of states at the Fermi level is 8.67 states/eV/f.u. The formation energy comes out at -0.212 eV/atom.

InPd8Pt2 after structural relaxation. Source: Alexandria, functional PBE.

Cell lengths 9.898, 9.076, 4.724 Å; angles 90.00, 105.71, 90.00 degrees
Space group C2/m (No. 12)
Unique sites:
In 0.000 0.000 0.000
Pd 0.075 0.500 0.289
Pd 0.086 0.249 0.788
Pd 0.221 0.500 0.868
Pt 0.147 0.000 0.557

Its offset from the most stable computed form is 0.408 eV/atom. The value obtained for the density of states at the Fermi level is 18.85 states/eV/f.u. The formation energy comes out at 0.227 eV/atom.

InPd5Pt3 after structural relaxation. Source: Alexandria, functional PBE.

Cell lengths 8.277, 7.440, 10.841 Å; angles 90.00, 96.84, 90.00 degrees
Space group C2/m (No. 12)
Unique sites:
In 0.055 0.000 0.263
Pd 0.000 0.328 0.000
Pd 0.036 0.500 0.298
Pd 0.195 0.225 0.675
Pd 0.207 0.500 0.872
Pt 0.000 0.000 0.000
Pt 0.000 0.000 0.500
Pt 0.181 0.500 0.521
Pt 0.248 0.500 0.130

The value obtained for the density of states at the Fermi level is 11.20 states/eV/f.u. The formation energy comes out at 0.190 eV/atom.

In3Pd2Pt after structural relaxation. Source: Alexandria, functional PBE.

Cell lengths 4.6881, 4.6881, 11.3702 Å; angles 90.00, 90.00, 120.00 degrees
Space group P-3m1 (No. 164)
Unique sites:
In 0.0000 0.0000 0.2496
In 0.3333 0.6667 0.4141
In 0.3333 0.6667 0.9142
Pd 0.0000 0.0000 0.0000
Pd 0.0000 0.0000 0.5000
Pd 0.3333 0.6667 0.1598
Pt 0.3333 0.6667 0.6631

The value obtained for the density of states at the Fermi level is 2.22 states/eV/f.u. The formation energy comes out at -0.478 eV/atom.

In3PdPt12 after structural relaxation. Source: Alexandria, functional PBE.

Cell lengths 4.041, 4.041, 15.986 Å; angles 90.00, 90.00, 90.00 degrees
Space group P4/mmm (No. 123)
Unique sites:
In 0.000 0.000 0.000
In 0.000 0.000 0.253
Pd 0.000 0.000 0.500
Pt 0.000 0.500 0.127
Pt 0.000 0.500 0.378
Pt 0.500 0.500 0.000
Pt 0.500 0.500 0.253
Pt 0.500 0.500 0.500

The value obtained for the density of states at the Fermi level is 16.34 states/eV/f.u. The formation energy comes out at -0.287 eV/atom.

InPd2Pt6 after structural relaxation. Source: Alexandria, functional PBE.

Cell lengths 14.350, 2.882, 8.556 Å; angles 90.00, 125.69, 90.00 degrees
Space group C2/m (No. 12)
Unique sites:
In 0.000 0.000 0.000
Pd 0.166 0.500 0.000
Pt 0.001 0.000 0.666
Pt 0.166 0.500 0.332
Pt 0.168 0.500 0.668

Its offset from the most stable computed form is 0.000 eV/atom. The value obtained for the density of states at the Fermi level is 11.52 states/eV/f.u. The formation energy comes out at -0.167 eV/atom.

In2PdPt5 after structural relaxation. Source: Alexandria, functional PBE.

Cell lengths 5.707, 11.415, 4.067 Å; angles 90.00, 90.00, 90.00 degrees
Space group Pbam (No. 55)
Unique sites:
In 0.241 0.123 0.000
Pd 0.000 0.000 0.500
Pt 0.000 0.500 0.500
Pt 0.010 0.750 0.500
Pt 0.242 0.373 0.000

The value obtained for the density of states at the Fermi level is 6.33 states/eV/f.u. The formation energy comes out at -0.395 eV/atom.

In4Pd4Pt5 after structural relaxation. Source: Alexandria, functional PBE.

Cell lengths 10.329, 10.329, 4.135 Å; angles 90.00, 90.00, 90.00 degrees
Space group I4/m (No. 87)
Unique sites:
In 0.132 0.765 0.000
Pd 0.086 0.390 0.000
Pt 0.000 0.000 0.000
Pt 0.060 0.189 0.500

The value obtained for the density of states at the Fermi level is 6.55 states/eV/f.u. The formation energy comes out at -0.408 eV/atom.

In2Pd6Pt after structural relaxation. Source: Alexandria, functional PBE.

Cell lengths 4.174, 11.203, 12.662 Å; angles 90.00, 90.00, 90.00 degrees
Space group Fmmm (No. 69)
Unique sites:
In 0.000 0.000 0.155
Pd 0.000 0.164 0.330
Pd 0.000 0.172 0.000
Pt 0.000 0.000 0.500

Its offset from the most stable computed form is 0.000 eV/atom. The value obtained for the density of states at the Fermi level is 5.99 states/eV/f.u. The formation energy comes out at -0.338 eV/atom.

InPd5Pt6 after structural relaxation. Source: Alexandria, functional PBE.

Cell lengths 3.967, 8.071, 11.852 Å; angles 90.00, 90.00, 90.00 degrees
Space group Immm (No. 71)
Unique sites:
In 0.000 0.000 0.000
Pd 0.000 0.000 0.333
Pd 0.000 0.500 0.000
Pd 0.000 0.500 0.335
Pt 0.000 0.244 0.500
Pt 0.000 0.253 0.168

The value obtained for the density of states at the Fermi level is 19.71 states/eV/f.u. The formation energy comes out at -0.158 eV/atom.

InPd2Pt2 after structural relaxation. Source: Alexandria, functional PBE.

Cell lengths 5.006, 5.006, 7.815 Å; angles 90.00, 90.00, 90.00 degrees
Space group I4/mmm (No. 139)
Unique sites:
In 0.000 0.000 0.000
Pd 0.000 0.000 0.338
Pt 0.000 0.500 0.250

Its offset from the most stable computed form is 0.343 eV/atom. The value obtained for the density of states at the Fermi level is 4.22 states/eV/f.u. The formation energy comes out at 0.237 eV/atom.

In5Pd12Pt2 after structural relaxation. Source: Alexandria, functional PBE.

Cell lengths 12.791, 7.587, 6.756 Å; angles 90.00, 91.37, 90.00 degrees
Space group C2/m (No. 12)
Unique sites:
In 0.000 0.000 0.000
In 0.183 0.500 0.534
In 0.243 0.000 0.933
Pd 0.058 0.500 0.184
Pd 0.106 0.000 0.602
Pd 0.111 0.287 0.863
Pd 0.168 0.191 0.260
Pt 0.000 0.299 0.500

The value obtained for the density of states at the Fermi level is 11.80 states/eV/f.u. The formation energy comes out at -0.321 eV/atom.